10
Lattice="8.147 0.000 0.000 0.000 8.147 0.000 0.000 0.000 4.363" Properties=species:S:1:pos:R:3 comment="Sr2YSe2 (PBE-GGA, optimized geometry)" dos_at_fermi_per_ev_cell=9.4 e_form_raw_mev_per_atom=-1353 spacegroup=P4/mbm total_energy_ev_per_cell=-47.13 pbc="T T T"
Se 1.304 2.769 0.000
Se 5.377 1.304 0.000
Se 6.843 5.377 0.000
Se 2.769 6.843 0.000
Sr 1.252 5.326 2.182
Sr 2.821 1.252 2.182
Sr 5.326 6.894 2.182
Sr 6.894 2.821 2.182
Y 0.000 0.000 0.000
Y 4.073 4.073 0.000